CaMg2Cu4 after structural relaxation, computed with PBE-GGA.

Values from the calculation:
Calculated formation energy ... 0.74 eV/atom

```
data_CaMg2Cu4
_chemical_formula_sum 'Ca2 Mg4 Cu8'
_space_group_name_H-M_alt 'I 4/m m m'
_space_group_IT_number 139
_space_group_name_Hall '-I 4 2'
_cell_length_a 4.964
_cell_length_b 4.964
_cell_length_c 13.666
_cell_angle_alpha 90.00
_cell_angle_beta 90.00
_cell_angle_gamma 90.00
loop_
_atom_site_label
_atom_site_type_symbol
_atom_site_fract_x
_atom_site_fract_y
_atom_site_fract_z
_atom_site_occupancy
Ca1 Ca 0.000 0.000 0.000 1
Mg1 Mg 0.000 0.000 0.390 1
Cu1 Cu 0.000 0.000 0.203 1
Cu2 Cu 0.000 0.500 0.000 1
```


BaTmClO2 after structural relaxation, computed with PBE-GGA.

Values from the calculation:
E_tot ... -6.61 eV/atom

```
data_BaTmClO2
_chemical_formula_sum 'Ba1 Tm1 Cl1 O2'
_space_group_name_H-M_alt 'P 4 m m'
_space_group_IT_number 99
_cell_length_a 4.209
_cell_length_b 4.209
_cell_length_c 6.542
_cell_angle_alpha 90.00
_cell_angle_beta 90.00
_cell_angle_gamma 90.00
loop_
_space_group_symop_operation_xyz
'x,y,z'
'-y,x,z'
'-x,-y,z'
'y,-x,z'
'-x,y,z'
'y,x,z'
'x,-y,z'
'-y,-x,z'
loop_
_atom_site_label
_atom_site_type_symbol
_atom_site_fract_x
_atom_site_fract_y
_atom_site_fract_z
_atom_site_occupancy
Ba1 Ba 0.000 0.000 0.000 1
Tm1 Tm 0.500 0.500 0.332 1
Cl1 Cl 0.500 0.500 0.741 1
O1 O 0.000 0.500 0.232 1
```


ZrSi3Se after structural relaxation, computed with PBE-GGA.

Values from the calculation:
E_tot ... -4.65 eV/atom

```
data_ZrSi3Se
_chemical_formula_sum 'Zr1 Si3 Se1'
_space_group_name_H-M_alt 'P m -3 m'
_space_group_IT_number 221
_space_group_name_Hall '-P 4 2 3'
_cell_length_a 5.137
_cell_length_b 5.137
_cell_length_c 5.137
_cell_angle_alpha 90.00
_cell_angle_beta 90.00
_cell_angle_gamma 90.00
loop_
_atom_site_label
_atom_site_type_symbol
_atom_site_fract_x
_atom_site_fract_y
_atom_site_fract_z
_atom_site_occupancy
Zr1 Zr 0.000 0.000 0.000 1
Si1 Si 0.000 0.000 0.500 1
Se1 Se 0.500 0.500 0.500 1
```


TbNd2Te after structural relaxation, computed with PBE-GGA.

Values from the calculation:
E_tot ... -4.83 eV/atom

```
data_TbNd2Te
_chemical_formula_sum 'Tb1 Nd2 Te1'
_space_group_name_H-M_alt 'P 4/m m m'
_space_group_IT_number 123
_space_group_name_Hall '-P 4 2'
_cell_length_a 4.937
_cell_length_b 4.937
_cell_length_c 4.803
_cell_angle_alpha 90.00
_cell_angle_beta 90.00
_cell_angle_gamma 90.00
loop_
_atom_site_label
_atom_site_type_symbol
_atom_site_fract_x
_atom_site_fract_y
_atom_site_fract_z
_atom_site_occupancy
Tb1 Tb 0.000 0.000 0.000 1
Nd1 Nd 0.000 0.500 0.500 1
Te1 Te 0.500 0.500 0.000 1
```


CaNd12Tm5 after structural relaxation, computed with PBE-GGA.

Values from the calculation:
Calculated formation energy ... 0.04 eV/atom

```
data_CaNd12Tm5
_chemical_formula_sum 'Ca1 Nd12 Tm5'
_space_group_name_H-M_alt 'P 1 2/m 1'
_space_group_IT_number 10
_cell_length_a 10.892
_cell_length_b 5.163
_cell_length_c 10.913
_cell_angle_alpha 90.00
_cell_angle_beta 90.72
_cell_angle_gamma 90.00
loop_
_space_group_symop_operation_xyz
'x,y,z'
'-x,-y,-z'
'-x,y,-z'
'x,-y,z'
loop_
_atom_site_label
_atom_site_type_symbol
_atom_site_fract_x
_atom_site_fract_y
_atom_site_fract_z
_atom_site_occupancy
Ca1 Ca 0.000 0.000 0.000 1
Nd1 Nd 0.003 0.000 0.663 1
Nd2 Nd 0.170 0.500 0.502 1
Nd3 Nd 0.171 0.500 0.171 1
Nd4 Nd 0.334 0.000 0.334 1
Nd5 Nd 0.337 0.000 0.997 1
Nd6 Nd 0.498 0.500 0.830 1
Tm1 Tm 0.173 0.500 0.827 1
Tm2 Tm 0.334 0.000 0.666 1
Tm3 Tm 0.500 0.500 0.500 1
```


NbAl2V4 after structural relaxation, computed with PBE-GGA.

Values from the calculation:
Calculated formation energy ... 1.10 eV/atom

```
data_NbAl2V4
_chemical_formula_sum 'Nb2 Al4 V8'
_space_group_name_H-M_alt 'I 4/m m m'
_space_group_IT_number 139
_space_group_name_Hall '-I 4 2'
_cell_length_a 4.560
_cell_length_b 4.560
_cell_length_c 13.366
_cell_angle_alpha 90.00
_cell_angle_beta 90.00
_cell_angle_gamma 90.00
loop_
_atom_site_label
_atom_site_type_symbol
_atom_site_fract_x
_atom_site_fract_y
_atom_site_fract_z
_atom_site_occupancy
Nb1 Nb 0.000 0.000 0.000 1
Al1 Al 0.000 0.000 0.385 1
V1 V 0.000 0.000 0.187 1
V2 V 0.000 0.500 0.000 1
```


CaPuIr after structural relaxation, computed with PBE-GGA.

Values from the calculation:
Calculated formation energy ... -0.23 eV/atom

```
data_CaPuIr
_chemical_formula_sum 'Ca2 Pu2 Ir2'
_space_group_name_H-M_alt 'I 4 m m'
_space_group_IT_number 107
_space_group_name_Hall 'I 4 -2'
_cell_length_a 3.447
_cell_length_b 3.447
_cell_length_c 12.920
_cell_angle_alpha 90.00
_cell_angle_beta 90.00
_cell_angle_gamma 90.00
loop_
_atom_site_label
_atom_site_type_symbol
_atom_site_fract_x
_atom_site_fract_y
_atom_site_fract_z
_atom_site_occupancy
Ca1 Ca 0.000 0.000 0.000 1
Pu1 Pu 0.000 0.000 0.261 1
Ir1 Ir 0.000 0.000 0.648 1
```


Th2ZnCu after structural relaxation, computed with PBE-GGA.

Values from the calculation:
Calculated formation energy ... -0.14 eV/atom

```
data_Th2ZnCu
_chemical_formula_sum 'Th4 Zn2 Cu2'
_space_group_name_H-M_alt 'A m m 2'
_space_group_IT_number 38
_cell_length_a 4.333
_cell_length_b 3.701
_cell_length_c 11.890
_cell_angle_alpha 90.00
_cell_angle_beta 90.00
_cell_angle_gamma 90.00
loop_
_space_group_symop_operation_xyz
'x,y,z'
'-x,-y,z'
'-x,y,z'
'x,-y,z'
'x,y+1/2,z+1/2'
'-x,-y+1/2,z+1/2'
'-x,y+1/2,z+1/2'
'x,-y+1/2,z+1/2'
loop_
_atom_site_label
_atom_site_type_symbol
_atom_site_fract_x
_atom_site_fract_y
_atom_site_fract_z
_atom_site_occupancy
Th1 Th 0.000 0.000 0.000 1
Th2 Th 0.500 0.000 0.310 1
Zn1 Zn 0.500 0.000 0.595 1
Cu1 Cu 0.000 0.000 0.718 1
```